(1)
Material: Mn2AlTe
Method: DFT, PBE
State: optimized geometry

Summary:
Its uncorrected formation energy is 43 kJ/mol of formula units. The size of the total moment is 5.33 μB/cell.

abc: 3.4772 3.4772 5.3738
angles: 90.00 90.00 90.00
Space group P4mm (No. 99)
Unique sites:
Mn1 0.0000 0.0000 0.0000 [1 per cell]
Mn2 0.5000 0.5000 0.2734 [1 per cell]
Al1 0.5000 0.5000 0.8134 [1 per cell]
Te1 0.0000 0.0000 0.4891 [1 per cell]

---

(2)
Material: AlCu4W
Method: DFT, PBE
State: optimized geometry

Summary:
As for the formation energy: 0.250 eV per atom. The size of the total moment is 4.40 μB/cell.

abc: 6.8053 6.8053 6.8053
angles: 90.00 90.00 90.00
Space group F-43m (No. 216)
Unique sites:
Al1 0.0000 0.0000 0.0000 [4 per cell]
Cu1 0.1249 0.1249 0.6249 [16 per cell]
W1 0.2500 0.2500 0.2500 [4 per cell]

---

(3)
Material: Rb2TmZn2O4
Method: DFT, PBE
State: optimized geometry

Summary:
Its uncorrected formation energy is -1531 kJ/mol of formula units. The size of the total moment is 0.00 μB/cell.

abc: 14.3172 3.3646 6.9305
angles: 90.00 110.00 90.00
Space group C2/m (No. 12)
Unique sites:
Rb1 0.1263 0.0000 0.0513 [4 per cell]
Tm1 0.0000 0.0000 0.5000 [2 per cell]
Zn1 0.1803 0.5000 0.5337 [4 per cell]
O1 0.0389 0.5000 0.3216 [4 per cell]
O2 0.1680 0.0000 0.6893 [4 per cell]

---

| no. | mass density (Mg/m³) | total energy (eV/atom) |
| --- | --- | --- |
| 1 | 6.76 | -6.193 |
| 2 | 9.80 | -5.263 |
| 3 | 5.66 | -4.962 |